# Al3CuC (SCAN, single point on PBEsol structure)
data_Al3CuC
_symmetry_space_group_name_H-M 'P m -3 m'
_symmetry_Int_Tables_number 221
_symmetry_space_group_name_Hall '-P 4 2 3'
_cell_length_a 4.386
_cell_length_b 4.386
_cell_length_c 4.386
_cell_angle_alpha 90.00
_cell_angle_beta 90.00
_cell_angle_gamma 90.00
loop_
_atom_site_label
_atom_site_type_symbol
_atom_site_fract_x
_atom_site_fract_y
_atom_site_fract_z
Al1 Al 0.000 0.000 0.500
Cu1 Cu 0.000 0.000 0.000
C1 C 0.500 0.500 0.500
# * DFT formation energy: 6.51 eV/f.u.
# * theoretical density: 3.081 g cm⁻³

=====

# Dy3AlC (SCAN, single point on PBEsol structure)
data_Dy3AlC
_symmetry_space_group_name_H-M 'P m -3 m'
_symmetry_Int_Tables_number 221
_symmetry_space_group_name_Hall '-P 4 2 3'
_cell_length_a 4.825
_cell_length_b 4.825
_cell_length_c 4.825
_cell_angle_alpha 90.00
_cell_angle_beta 90.00
_cell_angle_gamma 90.00
loop_
_atom_site_label
_atom_site_type_symbol
_atom_site_fract_x
_atom_site_fract_y
_atom_site_fract_z
Dy1 Dy 0.000 0.000 0.500
Al1 Al 0.500 0.500 0.500
C1 C 0.000 0.000 0.000
# * DFT formation energy: -2.38 eV/f.u.
# * theoretical density: 7.785 g cm⁻³

=====

# Er3AlC (SCAN, single point on PBEsol structure)
data_Er3AlC
_symmetry_space_group_name_H-M 'P m -3 m'
_symmetry_Int_Tables_number 221
_symmetry_space_group_name_Hall '-P 4 2 3'
_cell_length_a 4.771
_cell_length_b 4.771
_cell_length_c 4.771
_cell_angle_alpha 90.00
_cell_angle_beta 90.00
_cell_angle_gamma 90.00
loop_
_atom_site_label
_atom_site_type_symbol
_atom_site_fract_x
_atom_site_fract_y
_atom_site_fract_z
Er1 Er 0.000 0.000 0.500
Al1 Al 0.500 0.500 0.500
C1 C 0.000 0.000 0.000
# * DFT formation energy: -2.62 eV/f.u.
# * theoretical density: 8.268 g cm⁻³

=====

# AlCF3 (SCAN, single point on PBEsol structure)
data_AlCF3
_symmetry_space_group_name_H-M 'P m -3 m'
_symmetry_Int_Tables_number 221
_symmetry_space_group_name_Hall '-P 4 2 3'
_cell_length_a 3.701
_cell_length_b 3.701
_cell_length_c 3.701
_cell_angle_alpha 90.00
_cell_angle_beta 90.00
_cell_angle_gamma 90.00
loop_
_atom_site_label
_atom_site_type_symbol
_atom_site_fract_x
_atom_site_fract_y
_atom_site_fract_z
Al1 Al 0.000 0.000 0.000
C1 C 0.500 0.500 0.500
F1 F 0.000 0.000 0.500
# * energy relative to the elements, uncorrected: -1.330 eV/atom
# * theoretical density: 3.144 g cm⁻³

=====

# Al2P2H8C2NO8F (SCAN, single point on PBEsol structure)
data_Al2P2H8C2NO8F
_symmetry_space_group_name_H-M 'P 1 21/c 1'
_symmetry_Int_Tables_number 14
_symmetry_space_group_name_Hall '-P 2ybc'
_cell_length_a 9.429
_cell_length_b 12.699
_cell_length_c 8.649
_cell_angle_alpha 90.00
_cell_angle_beta 112.41
_cell_angle_gamma 90.00
loop_
_atom_site_label
_atom_site_type_symbol
_atom_site_fract_x
_atom_site_fract_y
_atom_site_fract_z
Al1 Al 0.065 0.098 0.092
Al2 Al 0.373 0.117 0.818
P1 P 0.207 0.210 0.455
P2 P 0.283 0.551 0.517
H1 H 0.012 0.107 0.580
H2 H 0.141 0.512 0.970
H3 H 0.141 0.644 0.772
H4 H 0.151 0.617 0.115
H5 H 0.173 0.742 0.916
H6 H 0.374 0.557 0.931
H7 H 0.406 0.650 0.098
H8 H 0.414 0.692 0.904
C1 C 0.112 0.595 0.982
C2 C 0.358 0.639 0.962
N1 N 0.191 0.661 0.899
O1 O 0.096 0.221 0.001
O2 O 0.118 0.141 0.306
O3 O 0.148 0.631 0.458
O4 O 0.256 0.037 0.124
O5 O 0.296 0.136 0.602
O6 O 0.309 0.504 0.364
O7 O 0.327 0.222 0.919
O8 O 0.427 0.615 0.620
F1 F 0.009 0.539 0.630
# * VASP energy: -7.852 eV/atom
# * theoretical density: 2.144 g cm⁻³

=====

# AlFe3C (SCAN, single point on PBEsol structure)
data_AlFe3C
_symmetry_space_group_name_H-M 'P m -3 m'
_symmetry_Int_Tables_number 221
_symmetry_space_group_name_Hall '-P 4 2 3'
_cell_length_a 3.690
_cell_length_b 3.690
_cell_length_c 3.690
_cell_angle_alpha 90.00
_cell_angle_beta 90.00
_cell_angle_gamma 90.00
loop_
_atom_site_label
_atom_site_type_symbol
_atom_site_fract_x
_atom_site_fract_y
_atom_site_fract_z
Al1 Al 0.000 0.000 0.000
Fe1 Fe 0.000 0.500 0.500
C1 C 0.500 0.500 0.500
# * DFT formation energy: -0.34 eV/f.u.
# * theoretical density: 6.824 g cm⁻³

=====

# AlFeC3 (SCAN, single point on PBEsol structure)
data_AlFeC3
_symmetry_space_group_name_H-M 'P m -3 m'
_symmetry_Int_Tables_number 221
_symmetry_space_group_name_Hall '-P 4 2 3'
_cell_length_a 3.702
_cell_length_b 3.702
_cell_length_c 3.702
_cell_angle_alpha 90.00
_cell_angle_beta 90.00
_cell_angle_gamma 90.00
loop_
_atom_site_label
_atom_site_type_symbol
_atom_site_fract_x
_atom_site_fract_y
_atom_site_fract_z
Al1 Al 0.000 0.000 0.000
Fe1 Fe 0.500 0.500 0.500
C1 C 0.000 0.500 0.500
# * DFT formation energy: 9.61 eV/f.u.
# * theoretical density: 3.890 g cm⁻³

=====

# Al2FeC2 (SCAN, single point on PBEsol structure)
data_Al2FeC2
_symmetry_space_group_name_H-M 'I 4/m m m'
_symmetry_Int_Tables_number 139
_symmetry_space_group_name_Hall '-I 4 2'
_cell_length_a 3.564
_cell_length_b 3.564
_cell_length_c 7.901
_cell_angle_alpha 90.00
_cell_angle_beta 90.00
_cell_angle_gamma 90.00
loop_
_atom_site_label
_atom_site_type_symbol
_atom_site_fract_x
_atom_site_fract_y
_atom_site_fract_z
Al1 Al 0.000 0.500 0.250
Fe1 Fe 0.000 0.000 0.000
C1 C 0.000 0.000 0.404
# * DFT formation energy: 3.68 eV/f.u.
# * theoretical density: 4.429 g cm⁻³

=====

# Sm2Al2Fe15C (SCAN, single point on PBEsol structure)
data_Sm2Al2Fe15C
_symmetry_space_group_name_H-M 'C 1 2/m 1'
_symmetry_Int_Tables_number 12
_symmetry_space_group_name_Hall '-C 2y'
_cell_length_a 9.539
_cell_length_b 8.396
_cell_length_c 6.332
_cell_angle_alpha 90.00
_cell_angle_beta 99.70
_cell_angle_gamma 90.00
loop_
_atom_site_label
_atom_site_type_symbol
_atom_site_fract_x
_atom_site_fract_y
_atom_site_fract_z
Sm1 Sm 0.157 0.000 0.362
Al1 Al 0.104 0.500 0.898
Fe1 Fe 0.000 0.216 0.000
Fe2 Fe 0.000 0.500 0.500
Fe3 Fe 0.092 0.254 0.657
Fe4 Fe 0.143 0.356 0.285
Fe5 Fe 0.155 0.000 0.850
Fe6 Fe 0.250 0.250 0.000
C1 C 0.000 0.000 0.000
# * DFT formation energy: -1.28 eV/f.u.
# * theoretical density: 8.001 g cm⁻³

=====

# Gd3AlC (SCAN, single point on PBEsol structure)
data_Gd3AlC
_symmetry_space_group_name_H-M 'P m -3 m'
_symmetry_Int_Tables_number 221
_symmetry_space_group_name_Hall '-P 4 2 3'
_cell_length_a 4.873
_cell_length_b 4.873
_cell_length_c 4.873
_cell_angle_alpha 90.00
_cell_angle_beta 90.00
_cell_angle_gamma 90.00
loop_
_atom_site_label
_atom_site_type_symbol
_atom_site_fract_x
_atom_site_fract_y
_atom_site_fract_z
Gd1 Gd 0.000 0.000 0.500
Al1 Al 0.500 0.500 0.500
C1 C 0.000 0.000 0.000
# * DFT formation energy: -1.72 eV/f.u.
# * theoretical density: 7.328 g cm⁻³

=====

# AlGeOs2C (SCAN, single point on PBEsol structure)
data_AlGeOs2C
_symmetry_space_group_name_H-M 'P 4/m m m'
_symmetry_Int_Tables_number 123
_symmetry_space_group_name_Hall '-P 4 2'
_cell_length_a 4.557
_cell_length_b 4.557
_cell_length_c 3.557
_cell_angle_alpha 90.00
_cell_angle_beta 90.00
_cell_angle_gamma 90.00
loop_
_atom_site_label
_atom_site_type_symbol
_atom_site_fract_x
_atom_site_fract_y
_atom_site_fract_z
Al1 Al 0.000 0.000 0.000
Ge1 Ge 0.500 0.500 0.500
Os1 Os 0.000 0.500 0.000
C1 C 0.000 0.000 0.500
# * DFT formation energy: 9.38 eV/f.u.
# * theoretical density: 11.059 g cm⁻³

=====

# Rb2AlGeC (SCAN, single point on PBEsol structure)
data_Rb2AlGeC
_symmetry_space_group_name_H-M 'P 4/m m m'
_symmetry_Int_Tables_number 123
_symmetry_space_group_name_Hall '-P 4 2'
_cell_length_a 6.797
_cell_length_b 6.797
_cell_length_c 4.516
_cell_angle_alpha 90.00
_cell_angle_beta 90.00
_cell_angle_gamma 90.00
loop_
_atom_site_label
_atom_site_type_symbol
_atom_site_fract_x
_atom_site_fract_y
_atom_site_fract_z
Rb1 Rb 0.000 0.500 0.000
Al1 Al 0.000 0.000 0.000
Ge1 Ge 0.000 0.000 0.500
C1 C 0.500 0.500 0.500
# * DFT formation energy: 6.48 eV/f.u.
# * theoretical density: 2.249 g cm⁻³